[1]
DFT (PBE) results for a geometry-optimized SrPbAu10 structure.

* space group: Pmmm, No. 47
* formation energy: -0.233 eV per atom
* magnetization: 0.0000 μB per atom
* calculated density: 14.36 g cm⁻³

```
12
Lattice="-2.0650 -3.2173 2.6251 4.9591 -2.8161 0.4497 2.2122 5.1890 8.1000" Properties=species:S:1:pos:R:3 pbc="T T T"
Au 3.2346 -2.4073 3.6905
Au 0.7746 -1.0103 3.4675
Au 0.7294 1.7110 2.6709
Au 1.4827 3.4780 5.4291
Au 1.4470 -3.0167 1.5374
Au 4.3322 2.9376 7.0083
Au 0.0736 0.9859 5.3625
Au 4.3316 0.1660 7.7073
Au 1.8716 1.5629 7.4842
Au 2.8391 -0.5646 1.5414
Pb 0.0000 0.0000 0.0000
Sr 3.5856 1.1865 4.2748
```

***

[2]
DFT (PBE) results for a geometry-optimized SrPb2Au6 structure.

* space group: Immm, No. 71
* formation energy: -0.245 eV per atom
* magnetization: 0.0000 μB per atom
* calculated density: 12.66 g cm⁻³

```
9
Lattice="3.7685 0.0000 1.1040 1.0735 7.5456 3.3196 -0.3553 1.3378 8.1971" Properties=species:S:1:pos:R:3 pbc="T T T"
Pb 3.6991 5.6896 8.3250
Pb 0.7876 3.1938 4.2956
Sr 0.0000 0.0000 0.0000
Au 3.4020 8.4058 9.3392
Au 1.5948 2.6939 1.5401
Au 2.8919 6.1895 11.0806
Au 1.9857 3.3221 7.1900
Au 1.0847 0.4776 3.2814
Au 2.5011 5.5613 5.4306
```

***

[3]
DFT (PBE) results for a geometry-optimized Sr7Pb2Au2 structure.

* space group: Cmmm, No. 65
* formation energy: -0.428 eV per atom
* magnetization: 0.0000 μB per atom
* calculated density: 5.35 g cm⁻³

```
11
Lattice="7.5618 -0.0032 -0.9839 0.0033 7.9946 0.0038 -1.4532 -0.0024 7.4858" Properties=species:S:1:pos:R:3 pbc="T T T"
Pb 1.0814 3.9963 1.1511
Pb 5.0305 3.9927 5.3545
Sr -0.7220 5.9057 3.7429
Sr 2.3331 5.9029 6.9947
Sr 3.0530 1.9436 3.2538
Sr 0.0000 0.0000 0.0000
Sr 6.8339 2.0834 2.7627
Sr 3.7788 2.0862 -0.4890
Sr 3.0589 6.0455 3.2519
Au 1.1803 -0.0024 5.0116
Au 4.9316 7.9915 1.4941
```

***

[4]
DFT (PBE) results for a geometry-optimized Sr2PbAu structure.

* space group: F-43m, No. 216
* formation energy: -0.300 eV per atom
* magnetization: 0.0000 μB per atom
* calculated density: 8.01 g cm⁻³

```
4
Lattice="-1.3162 -5.1000 -1.7091 -2.1277 -3.6550 3.5745 -5.3154 -1.4982 -0.4067" Properties=species:S:1:pos:R:3 pbc="T T T"
Sr 0.0000 0.0000 0.0000
Sr -2.1898 -2.5633 0.3647
Au -4.3797 -5.1266 0.7294
Pb -6.5695 -7.6899 1.0941
```

***

[5]
DFT (PBE) results for a geometry-optimized SrPb12Au4 structure.

* space group: Im-3, No. 204
* formation energy: -0.025 eV per atom
* magnetization: 0.0000 μB per atom
* calculated density: 10.60 g cm⁻³

```
17
Lattice="-4.1129 -7.7271 -1.0130 7.5161 -0.0479 -4.5996 1.7867 1.2800 8.5335" Properties=species:S:1:pos:R:3 pbc="T T T"
Au 2.5949 -3.2475 1.4604
Au 0.8933 0.6400 4.2667
Au -2.0565 -3.8636 -0.5065
Au 3.7580 -0.0239 -2.2998
Sr 0.0000 0.0000 0.0000
Pb -0.5491 -6.2916 -0.8407
Pb -0.2658 -3.4370 1.7050
Pb 6.1821 -1.0444 -1.1329
Pb -0.9923 -5.4505 4.0537
Pb 2.3562 -5.9068 0.3879
Pb 2.8336 -0.5882 2.5329
Pb 2.5597 -4.0150 4.2333
Pb 1.4968 -1.5867 5.9862
Pb 3.6930 -4.9083 -3.0654
Pb 5.4556 -3.0580 1.2158
Pb 5.7390 -0.2034 3.7615
Pb 2.6301 -2.4800 -1.3125
```

***

[6]
DFT (PBE) results for a geometry-optimized Sr2PbAu structure.

* space group: C2/m, No. 12
* formation energy: -0.507 eV per atom
* magnetization: 0.0000 μB per atom
* calculated density: 6.71 g cm⁻³

```
4
Lattice="4.2963 -0.0789 0.0464 2.2673 3.6502 0.0464 2.0180 1.0980 9.0660" Properties=species:S:1:pos:R:3 pbc="T T T"
Sr 2.0230 1.1007 8.7926
Sr 4.2857 2.3319 4.8528
Au 6.4361 3.5020 6.8691
Pb 2.1454 1.1673 2.2897
```

***

[7]
DFT (PBE) results for a geometry-optimized SrPbAu structure.

* space group: Pmmn, No. 59
* formation energy: -0.611 eV per atom
* magnetization: 0.0000 μB per atom
* calculated density: 9.52 g cm⁻³

```
24
Lattice="-4.4955 -2.1620 0.3562 3.5980 -6.8468 3.8509 -2.1646 6.8366 14.1776" Properties=species:S:1:pos:R:3 pbc="T T T"
Pb 1.7789 -2.9746 4.3962
Pb 1.9967 -2.1680 12.0413
Pb -1.5110 -1.5350 6.7216
Pb -2.1637 -0.9680 1.9251
Pb -2.1651 0.5310 11.0060
Pb 2.4316 -3.5416 9.1928
Pb -3.8934 4.4950 13.2542
Pb 0.2684 1.7960 14.2894
Au 0.7058 0.4149 11.4262
Au 1.3419 -1.5942 7.2598
Au -1.0740 -2.9154 3.8580
Au -2.7797 0.9875 6.0199
Au -2.6024 1.9121 13.8692
Au -3.2616 2.5095 9.1762
Au 1.3650 -0.1825 16.1192
Au 3.0476 -5.4970 5.0979
Sr 0.0310 -4.7302 6.7882
Sr -0.0307 1.4172 8.2143
Sr -0.7800 -2.5154 9.9962
Sr 0.2370 0.2206 4.3296
Sr -0.8578 3.6783 11.5003
Sr 0.2987 -5.9268 2.9036
Sr 1.0480 -1.9942 1.1216
Sr -1.0388 -1.3514 13.7952
```

***

[8]
DFT (PBE) results for a geometry-optimized SrPb5Au4 structure.

* space group: C2/m, No. 12
* formation energy: -0.201 eV per atom
* magnetization: 0.0000 μB per atom
* calculated density: 11.21 g cm⁻³

```
10
Lattice="-4.2028 2.2897 -1.4530 -3.8778 -3.8628 5.1293 3.3964 4.3875 5.6988" Properties=species:S:1:pos:R:3 pbc="T T T"
Pb -3.0929 2.9524 4.9899
Pb -1.2859 4.7769 2.6382
Pb -3.3983 -1.9625 6.7369
Pb -1.5913 -0.1381 4.3852
Pb -4.0403 -0.7866 1.8381
Au -0.9703 -0.7841 1.5710
Au -4.5695 0.1880 4.9046
Au -3.7139 3.5984 7.8041
Au -0.1147 2.6264 4.4705
Sr -2.1014 1.1448 -0.7265
```

***

no.,electronic total energy (eV per atom)
1,-3.413
2,-3.441
3,-2.768
4,-2.888
5,-3.513
6,-3.094
7,-3.500
8,-3.535